! CaP2PdO7 GGA-PBEsol optimized geometry; values from VASP
&SYSTEM
  ibrav = 0, nat = 44, ntyp = 4
/
ATOMIC_SPECIES
Ca 40.08 Ca.upf
P 30.97 P.upf
Pd 106.42 Pd.upf
O 16.00 O.upf
CELL_PARAMETERS angstrom
12.947 0.000 0.000
0.000 5.859 0.000
0.000 0.000 7.227
ATOMIC_POSITIONS angstrom
Ca 3.230 1.465 1.803
Ca 3.243 4.394 5.417
Ca 9.704 1.465 1.811
Ca 9.717 4.394 5.425
P 1.414 4.394 1.363
P 1.442 1.465 5.847
P 5.032 4.394 2.234
P 5.059 1.465 4.977
P 7.888 4.394 2.251
P 7.915 1.465 4.994
P 11.505 4.394 1.380
P 11.533 1.465 5.864
Pd 0.000 0.000 3.614
Pd 0.000 2.929 3.614
Pd 6.474 0.000 0.000
Pd 6.474 2.929 0.000
O 0.019 1.465 6.608
O 1.448 3.094 2.217
O 1.448 5.694 2.217
O 1.467 0.166 4.990
O 1.467 2.763 4.990
O 2.489 4.394 0.331
O 2.528 1.465 6.868
O 3.946 4.394 3.255
O 3.984 1.465 3.945
O 5.006 3.095 1.377
O 5.006 5.693 1.377
O 5.026 0.164 5.831
O 5.026 2.765 5.831
O 6.455 4.394 2.994
O 6.492 1.465 4.233
O 7.921 3.094 1.396
O 7.921 5.694 1.396
O 7.941 0.166 5.851
O 7.941 2.763 5.851
O 8.963 4.394 3.282
O 9.001 1.465 3.973
O 10.419 4.394 0.359
O 10.458 1.465 6.896
O 11.480 3.095 2.237
O 11.480 5.693 2.237
O 11.499 0.164 5.010
O 11.499 2.765 5.010
O 12.928 4.394 0.620
! ΔE_f (raw) (eV/atom): -2.169
! Space-group type: Pnma, No. 62



! Sc2Cu2Bi GGA-PBEsol optimized geometry; values from VASP
&SYSTEM
  ibrav = 0, nat = 10, ntyp = 3
/
ATOMIC_SPECIES
Sc 44.96 Sc.upf
Cu 63.55 Cu.upf
Bi 208.98 Bi.upf
CELL_PARAMETERS angstrom
6.954 0.000 0.000
0.000 6.954 0.000
0.000 0.000 3.818
ATOMIC_POSITIONS angstrom
Sc 1.147 2.330 0.000
Sc 2.330 5.807 0.000
Sc 4.624 1.147 0.000
Sc 5.807 4.624 0.000
Cu 0.844 4.321 1.909
Cu 2.633 0.844 1.909
Cu 4.321 6.110 1.909
Cu 6.110 2.633 1.909
Bi 0.000 0.000 1.909
Bi 3.477 3.477 1.909
! Space-group type: P4/mbm, No. 127
! Formation enthalpy at 0 K (meV/atom): -374



! Li2CoAs GGA-PBEsol optimized geometry; values from VASP
&SYSTEM
  ibrav = 0, nat = 4, ntyp = 3
/
ATOMIC_SPECIES
Li 6.94 Li.upf
Co 58.93 Co.upf
As 74.92 As.upf
CELL_PARAMETERS angstrom
2.294 -4.255 0.000
2.294 4.255 0.000
-0.885 0.000 2.611
ATOMIC_POSITIONS angstrom
Li 1.147 2.127 0.000
Li 1.147 -2.127 0.000
Co -0.442 0.000 1.305
As 1.852 0.000 1.305
! Space-group type: C2/m, No. 12
! Formation enthalpy at 0 K (meV/atom): -112



! Ba2Al GGA-PBEsol optimized geometry; values from VASP
&SYSTEM
  ibrav = 0, nat = 6, ntyp = 2
/
ATOMIC_SPECIES
Ba 137.33 Ba.upf
Al 26.98 Al.upf
CELL_PARAMETERS angstrom
8.986 -2.261 0.000
8.986 2.261 0.000
-1.551 0.000 6.709
ATOMIC_POSITIONS angstrom
Ba 1.084 0.000 1.980
Ba 5.868 0.000 1.165
Ba 10.553 0.000 5.545
Ba 15.337 0.000 4.729
Al 3.799 0.000 4.095
Al 12.622 0.000 2.615
! Space-group type: C2/m, No. 12
! Formation enthalpy at 0 K (meV/atom): -64



! GaAgPbF2 GGA-PBEsol optimized geometry; values from VASP
&SYSTEM
  ibrav = 0, nat = 5, ntyp = 4
/
ATOMIC_SPECIES
Ga 69.72 Ga.upf
Ag 107.87 Ag.upf
Pb 207.20 Pb.upf
F 19.00 F.upf
CELL_PARAMETERS angstrom
3.998 0.000 0.000
0.000 3.998 0.000
0.000 0.000 5.686
ATOMIC_POSITIONS angstrom
Ga 0.000 0.000 0.000
Ag 1.999 1.999 2.843
Pb 0.000 0.000 2.843
F 0.000 1.999 0.000
F 1.999 0.000 0.000
! ΔE_f (raw) (eV/atom): -1.008
! Space-group type: P4/mmm, No. 123



! CdSiSe3 GGA-PBEsol optimized geometry; values from VASP
&SYSTEM
  ibrav = 0, nat = 5, ntyp = 3
/
ATOMIC_SPECIES
Cd 112.41 Cd.upf
Si 28.09 Si.upf
Se 78.96 Se.upf
CELL_PARAMETERS angstrom
4.800 0.000 0.000
0.000 4.800 0.000
0.000 0.000 4.800
ATOMIC_POSITIONS angstrom
Cd 0.000 0.000 0.000
Si 2.400 2.400 2.400
Se 0.000 2.400 2.400
Se 2.400 0.000 2.400
Se 2.400 2.400 0.000
! ΔE_f (raw) (eV/atom): 0.157
! Space-group type: Pm-3m, No. 221



! TaCd2Co GGA-PBEsol optimized geometry; values from VASP
&SYSTEM
  ibrav = 0, nat = 4, ntyp = 3
/
ATOMIC_SPECIES
Ta 180.95 Ta.upf
Cd 112.41 Cd.upf
Co 58.93 Co.upf
CELL_PARAMETERS angstrom
1.432 0.827 9.446
-1.432 0.827 9.446
0.000 -1.654 9.446
ATOMIC_POSITIONS angstrom
Ta 0.000 0.000 0.000
Cd 0.000 0.000 6.878
Cd 0.000 0.000 21.461
Co 0.000 0.000 14.169
! Space-group type: R-3m, No. 166
! Formation enthalpy at 0 K (meV/atom): 405
! Excess energy over the best structure of this formula in the dataset (meV/atom): 104



! CsLiMoO4 GGA-PBEsol optimized geometry; values from VASP
&SYSTEM
  ibrav = 0, nat = 7, ntyp = 4
/
ATOMIC_SPECIES
Cs 132.91 Cs.upf
Li 6.94 Li.upf
Mo 95.94 Mo.upf
O 16.00 O.upf
CELL_PARAMETERS angstrom
0.000 4.194 4.194
4.194 0.000 4.194
4.194 4.194 0.000
ATOMIC_POSITIONS angstrom
Cs 0.000 0.000 0.000
Li 6.291 6.291 6.291
Mo 4.194 4.194 4.194
O 5.211 3.178 3.178
O 3.178 5.211 3.178
O 3.178 3.178 5.211
O 5.211 5.211 5.211
! ΔE_f (raw) (eV/atom): -2.169
! Space-group type: F-43m, No. 216



! BaTi2TeIr GGA-PBEsol optimized geometry; values from VASP
&SYSTEM
  ibrav = 0, nat = 5, ntyp = 4
/
ATOMIC_SPECIES
Ba 137.33 Ba.upf
Ti 47.87 Ti.upf
Te 127.60 Te.upf
Ir 192.22 Ir.upf
CELL_PARAMETERS angstrom
4.993 0.000 0.000
0.000 4.993 0.000
0.000 0.000 5.009
ATOMIC_POSITIONS angstrom
Ba 0.000 0.000 0.000
Ti 0.000 2.496 0.000
Ti 2.496 0.000 0.000
Te 2.496 2.496 2.504
Ir 0.000 0.000 2.504
! ΔE_f (raw) (eV/atom): 1.919
! Space-group type: P4/mmm, No. 123



! Y7O6F9 GGA-PBEsol optimized geometry; values from VASP
&SYSTEM
  ibrav = 0, nat = 44, ntyp = 3
/
ATOMIC_SPECIES
Y 88.91 Y.upf
O 16.00 O.upf
F 19.00 F.upf
CELL_PARAMETERS angstrom
5.424 0.000 0.000
0.000 19.358 2.739
0.000 -19.358 2.739
ATOMIC_POSITIONS angstrom
Y 1.084 -15.491 2.739
Y 1.084 -3.867 2.739
Y 1.268 6.558 2.641
Y 1.268 12.801 2.641
Y 1.284 1.126 2.587
Y 1.284 18.232 2.587
Y 1.310 -9.679 2.252
Y 4.114 9.679 2.252
Y 4.140 -18.232 2.587
Y 4.140 -1.126 2.587
Y 4.156 -12.801 2.641
Y 4.156 -6.558 2.641
Y 4.340 3.867 2.739
Y 4.340 15.491 2.739
O 0.000 0.000 1.234
O 0.000 0.000 3.972
O 0.124 -5.514 1.386
O 0.124 5.514 4.124
O 0.198 -2.697 1.199
O 0.198 2.697 3.937
O 2.712 0.000 1.172
O 2.712 0.000 3.911
O 5.226 2.697 1.199
O 5.226 -2.697 3.937
O 5.301 5.514 1.386
O 5.301 -5.514 4.124
F 0.254 -11.020 3.817
F 0.254 -8.339 3.817
F 1.984 9.679 2.902
F 2.185 -11.650 1.875
F 2.185 -7.708 1.875
F 2.465 3.013 1.764
F 2.465 -3.013 4.502
F 2.512 5.511 0.945
F 2.512 -5.511 3.683
F 2.913 -5.511 0.945
F 2.913 5.511 3.683
F 2.959 -3.013 1.764
F 2.959 3.013 4.502
F 3.239 7.708 1.875
F 3.239 11.650 1.875
F 3.440 -9.679 2.902
F 5.170 8.339 3.817
F 5.170 11.020 3.817
! ΔE_f (raw) (eV/atom): -3.903
! Space-group type: Aem2, No. 39
! Excess energy over the best structure of this formula in the dataset (meV/atom): 77



! Sc2CrB GGA-PBEsol optimized geometry; values from VASP
&SYSTEM
  ibrav = 0, nat = 4, ntyp = 3
/
ATOMIC_SPECIES
Sc 44.96 Sc.upf
Cr 52.00 Cr.upf
B 10.81 B.upf
CELL_PARAMETERS angstrom
1.563 0.902 8.407
-1.563 0.902 8.407
0.000 -1.804 8.407
ATOMIC_POSITIONS angstrom
Sc 0.000 0.000 2.693
Sc 0.000 0.000 22.527
Cr 0.000 0.000 0.000
B 0.000 0.000 12.610
! Space-group type: R-3m, No. 166
! Formation enthalpy at 0 K (meV/atom): 553



! CoTe3Pd GGA-PBEsol optimized geometry; values from VASP
&SYSTEM
  ibrav = 0, nat = 5, ntyp = 3
/
ATOMIC_SPECIES
Co 58.93 Co.upf
Te 127.60 Te.upf
Pd 106.42 Pd.upf
CELL_PARAMETERS angstrom
5.169 0.000 0.000
0.000 5.169 0.000
0.000 0.000 5.169
ATOMIC_POSITIONS angstrom
Co 0.000 0.000 0.000
Te 0.000 2.584 2.584
Te 2.584 0.000 2.584
Te 2.584 2.584 0.000
Pd 2.584 2.584 2.584
! ΔE_f (raw) (eV/atom): 0.944
! Space-group type: Pm-3m, No. 221



no.,calculated volume (A^3/atom),mass density (g cm⁻³),total energy (eV/cell)
1,12.5,3.88,-321.1
2,18.5,7.66,-56.1
3,12.7,4.81,-17.2
4,45.4,3.67,-17.2
5,18.2,7.73,-19.5
6,22.1,5.66,-17.7
7,16.8,11.50,-21.1
8,21.1,3.37,-50.9
9,25.0,7.35,-22.5
10,13.1,5.14,-364.9
11,17.8,3.57,-28.3
12,27.6,6.59,-19.6